Compound: Sm2Cu2SiGe
Source: OQMD
Functional: PBE-GGA
Structure: relaxed

Lattice parameters (Å, degrees): 4.226 4.226 7.767 90.00 90.00 120.00
Element x y z (fractional)
Sm1 0.000 0.000 0.248
Sm2 0.000 0.000 0.752
Cu1 0.333 0.667 0.000
Cu2 0.667 0.333 0.500
Si1 0.667 0.333 0.000
Ge1 0.333 0.667 0.500

The value obtained for the calculated density is 7.307 g/cm³. As for the symmetry: P-6m2, No. 187. Its volume is 20.0 A^3/atom. As for the electronic total energy: -0.378 Ry per atom. The total magnetization is 0.00 μB/f.u.